No. 1
# Nb2BiH PBE-GGA optimized geometry
data_Nb2BiH
_chemical_formula_sum 'Nb2 Bi1 H1'
_cell_length_a 4.6516
_cell_length_b 4.6516
_cell_length_c 4.6516
_cell_angle_alpha 60.00
_cell_angle_beta 60.00
_cell_angle_gamma 60.00
_space_group_name_H-M_alt 'P 1'
_space_group_IT_number 1
loop_
_space_group_symop_operation_xyz
'x,y,z'
loop_
_atom_site_label
_atom_site_type_symbol
_atom_site_fract_x
_atom_site_fract_y
_atom_site_fract_z
Nb1 Nb 0.2500 0.2500 0.2500
Nb2 Nb 0.7500 0.7500 0.7500
Bi1 Bi 0.0000 0.0000 0.0000
H1 H 0.5000 0.5000 0.5000
# Raw total energy in eV/cell: -23.957


No. 2
# Nb2BiH PBE-GGA optimized geometry
data_Nb2BiH
_chemical_formula_sum 'Nb4 Bi2 H2'
_cell_length_a 6.2954
_cell_length_b 6.2954
_cell_length_c 6.2954
_cell_angle_alpha 129.41
_cell_angle_beta 129.41
_cell_angle_gamma 74.35
_space_group_name_H-M_alt 'P 1'
_space_group_IT_number 1
loop_
_space_group_symop_operation_xyz
'x,y,z'
loop_
_atom_site_label
_atom_site_type_symbol
_atom_site_fract_x
_atom_site_fract_y
_atom_site_fract_z
Nb1 Nb 0.0000 0.0000 0.0000
Nb2 Nb 0.0000 0.0000 0.5000
Nb3 Nb 0.0000 0.5000 0.0000
Nb4 Nb 0.5000 0.0000 0.5000
Bi1 Bi 0.3750 0.6250 0.7500
Bi2 Bi 0.6250 0.3750 0.2500
H1 H 0.1250 0.8750 0.2500
H2 H 0.8750 0.1250 0.7500
# Raw total energy in eV/cell: -52.411


No. 3
# Nb3BiH PBE-GGA optimized geometry
data_Nb3BiH
_chemical_formula_sum 'Nb3 Bi1 H1'
_cell_length_a 4.3090
_cell_length_b 4.3090
_cell_length_c 4.3090
_cell_angle_alpha 90.00
_cell_angle_beta 90.00
_cell_angle_gamma 90.00
_space_group_name_H-M_alt 'P 1'
_space_group_IT_number 1
loop_
_space_group_symop_operation_xyz
'x,y,z'
loop_
_atom_site_label
_atom_site_type_symbol
_atom_site_fract_x
_atom_site_fract_y
_atom_site_fract_z
Nb1 Nb 0.0000 0.0000 0.5000
Nb2 Nb 0.0000 0.5000 0.0000
Nb3 Nb 0.5000 0.0000 0.0000
Bi1 Bi 0.5000 0.5000 0.5000
H1 H 0.0000 0.0000 0.0000
# Raw total energy in eV/cell: -37.188


No. 4
# RbNbBi2H PBE-GGA optimized geometry
data_RbNbBi2H
_chemical_formula_sum 'Rb1 Nb1 Bi2 H1'
_cell_length_a 5.0185
_cell_length_b 5.0185
_cell_length_c 4.9315
_cell_angle_alpha 90.00
_cell_angle_beta 90.00
_cell_angle_gamma 90.00
_space_group_name_H-M_alt 'P 1'
_space_group_IT_number 1
loop_
_space_group_symop_operation_xyz
'x,y,z'
loop_
_atom_site_label
_atom_site_type_symbol
_atom_site_fract_x
_atom_site_fract_y
_atom_site_fract_z
Rb1 Rb 0.0000 0.0000 0.0000
Nb1 Nb 0.5000 0.5000 0.0000
Bi1 Bi 0.0000 0.5000 0.5000
Bi2 Bi 0.5000 0.0000 0.5000
H1 H 0.0000 0.0000 0.5000
# Raw total energy in eV/cell: -18.592


No. 5
# Nb7BiSb2H2 PBE-GGA optimized geometry
data_Nb7BiSb2H2
_chemical_formula_sum 'Nb7 Bi1 Sb2 H2'
_cell_length_a 11.6834
_cell_length_b 11.6834
_cell_length_c 11.6834
_cell_angle_alpha 158.97
_cell_angle_beta 158.97
_cell_angle_gamma 29.92
_space_group_name_H-M_alt 'P 1'
_space_group_IT_number 1
loop_
_space_group_symop_operation_xyz
'x,y,z'
loop_
_atom_site_label
_atom_site_type_symbol
_atom_site_fract_x
_atom_site_fract_y
_atom_site_fract_z
Nb1 Nb 0.0000 0.0000 0.0000
Nb2 Nb 0.0971 0.5971 0.5000
Nb3 Nb 0.1866 0.1866 0.0000
Nb4 Nb 0.4029 0.9029 0.5000
Nb5 Nb 0.5971 0.0971 0.5000
Nb6 Nb 0.8134 0.8134 0.0000
Nb7 Nb 0.9029 0.4029 0.5000
Bi1 Bi 0.5000 0.5000 0.0000
Sb1 Sb 0.3129 0.3129 0.0000
Sb2 Sb 0.6871 0.6871 0.0000
H1 H 0.0937 0.0937 0.0000
H2 H 0.9063 0.9063 0.0000
# Raw total energy in eV/cell: -90.344


No. 6
# TiNb2BiH PBE-GGA optimized geometry
data_TiNb2BiH
_chemical_formula_sum 'Ti1 Nb2 Bi1 H1'
_cell_length_a 4.2365
_cell_length_b 4.2365
_cell_length_c 4.3504
_cell_angle_alpha 90.00
_cell_angle_beta 90.00
_cell_angle_gamma 90.00
_space_group_name_H-M_alt 'P 1'
_space_group_IT_number 1
loop_
_space_group_symop_operation_xyz
'x,y,z'
loop_
_atom_site_label
_atom_site_type_symbol
_atom_site_fract_x
_atom_site_fract_y
_atom_site_fract_z
Ti1 Ti 0.0000 0.0000 0.0000
Nb1 Nb 0.0000 0.5000 0.5000
Nb2 Nb 0.5000 0.0000 0.5000
Bi1 Bi 0.5000 0.5000 0.0000
H1 H 0.0000 0.0000 0.5000
# Raw total energy in eV/cell: -35.692


No. 7
# Ti7NbBi2H2 PBE-GGA optimized geometry
data_Ti7NbBi2H2
_chemical_formula_sum 'Ti7 Nb1 Bi2 H2'
_cell_length_a 11.8141
_cell_length_b 11.8141
_cell_length_c 11.8141
_cell_angle_alpha 159.85
_cell_angle_beta 159.85
_cell_angle_gamma 28.64
_space_group_name_H-M_alt 'P 1'
_space_group_IT_number 1
loop_
_space_group_symop_operation_xyz
'x,y,z'
loop_
_atom_site_label
_atom_site_type_symbol
_atom_site_fract_x
_atom_site_fract_y
_atom_site_fract_z
Ti1 Ti 0.0000 0.0000 0.0000
Ti2 Ti 0.0916 0.5916 0.5000
Ti3 Ti 0.1845 0.1845 0.0000
Ti4 Ti 0.4084 0.9084 0.5000
Ti5 Ti 0.5916 0.0916 0.5000
Ti6 Ti 0.8155 0.8155 0.0000
Ti7 Ti 0.9084 0.4084 0.5000
Nb1 Nb 0.5000 0.5000 0.0000
Bi1 Bi 0.3126 0.3126 0.0000
Bi2 Bi 0.6874 0.6874 0.0000
H1 H 0.0959 0.0959 0.0000
H2 H 0.9041 0.9041 0.0000
# Raw total energy in eV/cell: -81.851


No. 8
# NdBiH PBE-GGA optimized geometry
data_NdBiH
_chemical_formula_sum 'Nd1 Bi1 H1'
_cell_length_a 3.9510
_cell_length_b 3.9510
_cell_length_c 4.9519
_cell_angle_alpha 90.00
_cell_angle_beta 90.00
_cell_angle_gamma 120.00
_space_group_name_H-M_alt 'P 1'
_space_group_IT_number 1
loop_
_space_group_symop_operation_xyz
'x,y,z'
loop_
_atom_site_label
_atom_site_type_symbol
_atom_site_fract_x
_atom_site_fract_y
_atom_site_fract_z
Nd1 Nd 0.0000 0.0000 0.0000
Bi1 Bi 0.6667 0.3333 0.5000
H1 H 0.3333 0.6667 0.0000
# Raw total energy in eV/cell: -13.918


No. 9
# Nd2Bi2H PBE-GGA optimized geometry
data_Nd2Bi2H
_chemical_formula_sum 'Nd4 Bi4 H2'
_cell_length_a 8.5614
_cell_length_b 8.5614
_cell_length_c 7.7473
_cell_angle_alpha 90.00
_cell_angle_beta 90.00
_cell_angle_gamma 149.28
_space_group_name_H-M_alt 'P 1'
_space_group_IT_number 1
loop_
_space_group_symop_operation_xyz
'x,y,z'
loop_
_atom_site_label
_atom_site_type_symbol
_atom_site_fract_x
_atom_site_fract_y
_atom_site_fract_z
Nd1 Nd 0.0688 0.9312 0.5000
Nd2 Nd 0.3455 0.6545 0.3657
Nd3 Nd 0.6545 0.3455 0.8657
Nd4 Nd 0.9312 0.0688 0.0000
Bi1 Bi 0.2905 0.7095 0.9583
Bi2 Bi 0.4626 0.5374 0.7002
Bi3 Bi 0.5374 0.4626 0.2002
Bi4 Bi 0.7095 0.2905 0.4583
H1 H 0.1159 0.8841 0.7852
H2 H 0.8841 0.1159 0.2852
# Raw total energy in eV/cell: -47.613


No. 10
# Nd2BiH PBE-GGA optimized geometry
data_Nd2BiH
_chemical_formula_sum 'Nd2 Bi1 H1'
_cell_length_a 7.1593
_cell_length_b 7.1593
_cell_length_c 7.1593
_cell_angle_alpha 34.65
_cell_angle_beta 34.65
_cell_angle_gamma 34.65
_space_group_name_H-M_alt 'P 1'
_space_group_IT_number 1
loop_
_space_group_symop_operation_xyz
'x,y,z'
loop_
_atom_site_label
_atom_site_type_symbol
_atom_site_fract_x
_atom_site_fract_y
_atom_site_fract_z
Nd1 Nd 0.2353 0.2353 0.2353
Nd2 Nd 0.7647 0.7647 0.7647
Bi1 Bi 0.0000 0.0000 0.0000
H1 H 0.5000 0.5000 0.5000
# Raw total energy in eV/cell: -18.623


No. 11
# NdBiH2 PBE-GGA optimized geometry
data_NdBiH2
_chemical_formula_sum 'Nd2 Bi2 H4'
_cell_length_a 6.5885
_cell_length_b 6.5885
_cell_length_c 6.4772
_cell_angle_alpha 90.00
_cell_angle_beta 90.00
_cell_angle_gamma 147.32
_space_group_name_H-M_alt 'P 1'
_space_group_IT_number 1
loop_
_space_group_symop_operation_xyz
'x,y,z'
loop_
_atom_site_label
_atom_site_type_symbol
_atom_site_fract_x
_atom_site_fract_y
_atom_site_fract_z
Nd1 Nd 0.2249 0.7751 0.7500
Nd2 Nd 0.7751 0.2249 0.2500
Bi1 Bi 0.0433 0.9567 0.2500
Bi2 Bi 0.9567 0.0433 0.7500
H1 H 0.3066 0.6934 0.0559
H2 H 0.3066 0.6934 0.4441
H3 H 0.6934 0.3066 0.5559
H4 H 0.6934 0.3066 0.9441
# Raw total energy in eV/cell: -34.490


No. 12
# NdBiH PBE-GGA optimized geometry
data_NdBiH
_chemical_formula_sum 'Nd1 Bi1 H1'
_cell_length_a 6.3816
_cell_length_b 6.3816
_cell_length_c 6.3816
_cell_angle_alpha 149.09
_cell_angle_beta 149.09
_cell_angle_gamma 44.27
_space_group_name_H-M_alt 'P 1'
_space_group_IT_number 1
loop_
_space_group_symop_operation_xyz
'x,y,z'
loop_
_atom_site_label
_atom_site_type_symbol
_atom_site_fract_x
_atom_site_fract_y
_atom_site_fract_z
Nd1 Nd 0.0000 0.0000 0.0000
Bi1 Bi 0.2841 0.2841 0.0000
H1 H 0.5490 0.5490 0.0000
# Raw total energy in eV/cell: -13.218